Here is a relaxed structure of CsBaSi2 from the Alexandria database. Energies are from GGA-PBEsol.

CIF file:
```
data_CsBaSi2
_symmetry_space_group_name_H-M 'I -4 2 d'
_symmetry_Int_Tables_number 122
_symmetry_space_group_name_Hall 'I -4 2bw'
_cell_length_a 9.3263
_cell_length_b 9.3263
_cell_length_c 6.3394
_cell_angle_alpha 90.00
_cell_angle_beta 90.00
_cell_angle_gamma 90.00
loop_
_atom_site_label
_atom_site_type_symbol
_atom_site_fract_x
_atom_site_fract_y
_atom_site_fract_z
_atom_site_occupancy
Cs1 Cs 0.0000 0.0000 0.0000 1
Ba1 Ba 0.0000 0.0000 0.5000 1
Si1 Si 0.2277 0.2500 0.6250 1
```

Values from the calculation:
Theoretical density = 3932 kg/m3
E_form (uncorrected) = 0.67 eV/atom
Calculated volume = 551 Å³/cell

***

Here is a relaxed structure of MnCoB2 from the Alexandria database. Energies are from GGA-PBEsol.

CIF file:
```
data_MnCoB2
_symmetry_space_group_name_H-M 'F m -3 m'
_symmetry_Int_Tables_number 225
_symmetry_space_group_name_Hall '-F 4 2 3'
_cell_length_a 4.9488
_cell_length_b 4.9488
_cell_length_c 4.9488
_cell_angle_alpha 90.00
_cell_angle_beta 90.00
_cell_angle_gamma 90.00
loop_
_atom_site_label
_atom_site_type_symbol
_atom_site_fract_x
_atom_site_fract_y
_atom_site_fract_z
_atom_site_occupancy
Mn1 Mn 0.0000 0.0000 0.0000 1
Co1 Co 0.0000 0.0000 0.5000 1
B1 B 0.2500 0.2500 0.2500 1
```

Values from the calculation:
Theoretical density = 7426 kg/m3
Calculated formation energy = -151 meV/atom
Calculated volume = 121 Å³/cell

***

Here is a relaxed structure of BaInRhW2 from the Alexandria database. Energies are from GGA-PBEsol.

CIF file:
```
data_BaInRhW2
_symmetry_space_group_name_H-M 'P 4/m m m'
_symmetry_Int_Tables_number 123
_symmetry_space_group_name_Hall '-P 4 2'
_cell_length_a 4.9445
_cell_length_b 4.9445
_cell_length_c 5.4853
_cell_angle_alpha 90.00
_cell_angle_beta 90.00
_cell_angle_gamma 90.00
loop_
_atom_site_label
_atom_site_type_symbol
_atom_site_fract_x
_atom_site_fract_y
_atom_site_fract_z
_atom_site_occupancy
Ba1 Ba 0.0000 0.0000 0.0000 1
In1 In 0.0000 0.0000 0.5000 1
Rh1 Rh 0.5000 0.5000 0.5000 1
W1 W 0.0000 0.5000 0.0000 1
```

Values from the calculation:
Theoretical density = 8949 kg/m3
Calculated formation energy = 3613 meV/atom
Calculated volume = 134 Å³/cell